(1)
DFT (SCAN) results for InSbW2 at its PBEsol-relaxed geometry.

Output
- electronic total energy (eV per cell) = -206.2
- DOS at the Fermi energy (states/eV per cell) = 4.183
- space group = P4/mmm, No. 123

abc: 3.294 4.637 4.637
angles: 90.00 90.00 90.00
Sites, in units of the cell vectors:
In  0.500  0.500  0.500
Sb  0.500  0.000  0.000
W  0.000  0.000  0.500
W  0.000  0.500  0.000

***

(2)
DFT (SCAN) results for InSb2W at its PBEsol-relaxed geometry.

Output
- electronic total energy (eV per cell) = -173.9
- DOS at the Fermi energy (states/eV per cell) = 3.132
- space group = P4/mmm, No. 123

abc: 3.515 4.887 4.887
angles: 90.00 90.00 90.00
Sites, in units of the cell vectors:
In  0.500  0.000  0.000
Sb  0.000  0.000  0.500
Sb  0.000  0.500  0.000
W  0.500  0.500  0.500

***

(3)
DFT (SCAN) results for InSbW2 at its PBEsol-relaxed geometry.

Output
- electronic total energy (eV per cell) = -206.5
- DOS at the Fermi energy (states/eV per cell) = 2.170
- space group = P2/m, No. 10

abc: 2.919 4.556 5.653
angles: 90.00 94.55 90.00
Sites, in units of the cell vectors:
In  0.500  0.500  0.000
Sb  0.000  0.500  0.500
W  0.845  0.000  0.778
W  0.155  0.000  0.222

***

(4)
DFT (SCAN) results for InSbW2 at its PBEsol-relaxed geometry.

Output
- electronic total energy (eV per cell) = -207.9
- DOS at the Fermi energy (states/eV per cell) = 2.664
- space group = Cmm2, No. 35

abc: 2.915 2.915 10.099
angles: 90.00 90.00 111.66
Sites, in units of the cell vectors:
In  0.000  0.000  0.534
Sb  0.500  0.500  0.212
W  0.000  0.000  0.976
W  0.500  0.500  0.777

***

(5)
DFT (SCAN) results for Y2InSb at its PBEsol-relaxed geometry.

Output
- electronic total energy (eV per cell) = -129.5
- DOS at the Fermi energy (states/eV per cell) = 1.983
- space group = P4/mmm, No. 123

abc: 3.906 3.906 6.714
angles: 90.00 90.00 90.00
Each line ends with the local moment (μB).
Sites, in units of the cell vectors:
In  0.500  0.500  0.000  -0.02
Sb  0.500  0.500  0.500  -0.02
Y  0.000  0.000  0.742  0.20
Y  0.000  0.000  0.258  0.20

***

(6)
DFT (SCAN) results for YIn2Sb at its PBEsol-relaxed geometry.

Output
- electronic total energy (eV per cell) = -133.9
- DOS at the Fermi energy (states/eV per cell) = 1.722
- space group = Fmmm, No. 69

abc: 4.323 4.313 6.505
angles: 109.14 109.19 90.63
Sites, in units of the cell vectors:
In  0.000  0.000  0.500
In  0.500  0.500  0.500
Sb  0.500  0.500  0.000
Y  0.000  0.000  0.000

***

(7)
DFT (SCAN) results for YIn2Sb at its PBEsol-relaxed geometry.

Output
- electronic total energy (eV per cell) = -132.3
- DOS at the Fermi energy (states/eV per cell) = 2.916
- space group = Cmmm, No. 65

abc: 3.318 3.318 9.699
angles: 90.00 90.00 105.86
Sites, in units of the cell vectors:
In  0.000  0.000  0.250
In  0.000  0.000  0.750
Sb  0.500  0.500  0.500
Y  0.500  0.500  0.000

***

(8)
DFT (SCAN) results for ZnInSb2 at its PBEsol-relaxed geometry.

Output
- electronic total energy (eV per cell) = -120.9
- DOS at the Fermi energy (states/eV per cell) = 0.984
- space group = Pm, No. 6

abc: 3.189 5.038 6.311
angles: 90.00 90.10 90.00
Sites, in units of the cell vectors:
In  0.125  0.500  0.276
Sb  0.122  0.000  0.060
Sb  0.626  0.500  0.683
Zn  0.626  0.000  0.481

***

(9)
DFT (SCAN) results for ZnInSb2 at its PBEsol-relaxed geometry.

Output
- electronic total energy (eV per cell) = -120.4
- DOS at the Fermi energy (states/eV per cell) = 1.736
- space group = C2/m, No. 12

abc: 3.290 5.718 5.718
angles: 112.79 98.57 98.57
Sites, in units of the cell vectors:
In  0.500  0.500  0.500
Sb  0.000  0.500  0.000
Sb  0.000  0.000  0.500
Zn  0.500  0.000  0.000

***

(10)
DFT (SCAN) results for ZnIn2Sb at its PBEsol-relaxed geometry.

Output
- electronic total energy (eV per cell) = -117.2
- DOS at the Fermi energy (states/eV per cell) = 1.632
- space group = Pm, No. 6

abc: 3.074 3.834 8.035
angles: 90.00 90.06 90.00
Sites, in units of the cell vectors:
In  0.000  0.000  0.966
In  0.500  0.500  0.234
Sb  0.500  0.000  0.528
Zn  0.500  0.500  0.772

***

(11)
DFT (SCAN) results for ZnInSb2 at its PBEsol-relaxed geometry.

Output
- electronic total energy (eV per cell) = -120.4
- DOS at the Fermi energy (states/eV per cell) = 1.844
- space group = F-43m, No. 216

abc: 5.143 5.143 5.143
angles: 60.00 60.00 60.00
Sites, in units of the cell vectors:
In  0.500  0.500  0.500
Sb  0.000  0.000  0.000
Sb  0.750  0.750  0.750
Zn  0.250  0.250  0.250

***

(12)
DFT (SCAN) results for Sc5In at its PBEsol-relaxed geometry.

Output
- electronic total energy (eV per cell) = -105.7
- DOS at the Fermi energy (states/eV per cell) = 7.156
- space group = Amm2, No. 38
- ΔE_f (kJ/mol of atoms) = -17.5

abc: 3.286 5.011 8.475
angles: 90.00 101.18 90.00
Each line ends with the local moment (μB).
Sites, in units of the cell vectors:
Sc  0.330  0.000  0.660  0.01
Sc  0.663  0.000  0.327  0.01
Sc  0.451  0.500  0.902  0.06
Sc  0.776  0.500  0.551  0.00
Sc  0.112  0.500  0.225  0.04
In  0.001  0.000  0.002  0.00

***

(13)
DFT (SCAN) results for ScIn3 at its PBEsol-relaxed geometry.

Output
- electronic total energy (eV per cell) = -115.6
- DOS at the Fermi energy (states/eV per cell) = 1.911
- space group = Cmmm, No. 65
- ΔE_f (kJ/mol of atoms) = -29.5

abc: 3.330 5.393 5.393
angles: 110.24 90.00 90.00
Sites, in units of the cell vectors:
Sc  0.000  0.000  0.000
In  0.500  0.000  0.500
In  0.500  0.500  0.000
In  0.000  0.500  0.500

***

(14)
DFT (SCAN) results for Sc8In at its PBEsol-relaxed geometry.

Output
- electronic total energy (eV per cell) = -148.2
- DOS at the Fermi energy (states/eV per cell) = 14.789
- space group = I4/mmm, No. 139
- ΔE_f (kJ/mol of atoms) = -9.8

abc: 4.459 7.167 7.167
angles: 84.45 71.88 71.88
Sites, in units of the cell vectors:
In  0.000  0.000  0.000
Sc  0.337  0.000  0.326
Sc  0.663  0.000  0.674
Sc  0.665  0.335  0.335
Sc  0.337  0.326  0.000
Sc  0.000  0.335  0.665
Sc  0.663  0.674  0.000
Sc  0.335  0.665  0.665
Sc  0.000  0.665  0.335

***

(15)
DFT (SCAN) results for Sc5In3 at its PBEsol-relaxed geometry.

Output
- electronic total energy (eV per cell) = -350.8
- DOS at the Fermi energy (states/eV per cell) = 20.658
- space group = P6_3/mcm, No. 193
- ΔE_f (kJ/mol of atoms) = -49.0

abc: 5.965 8.433 8.433
angles: 120.00 90.00 90.00
Sites, in units of the cell vectors:
In  0.750  0.401  0.401
In  0.250  0.599  0.599
In  0.750  0.000  0.599
In  0.750  0.599  0.000
In  0.250  0.401  0.000
In  0.250  0.000  0.401
Sc  0.000  0.667  0.333
Sc  0.500  0.333  0.667
Sc  0.000  0.333  0.667
Sc  0.500  0.667  0.333
Sc  0.750  0.766  0.766
Sc  0.250  0.234  0.234
Sc  0.750  0.000  0.234
Sc  0.750  0.234  0.000
Sc  0.250  0.766  0.000
Sc  0.250  0.000  0.766

***

(16)
DFT (SCAN) results for ScIn at its PBEsol-relaxed geometry.

Output
- electronic total energy (eV per cell) = -97.2
- DOS at the Fermi energy (states/eV per cell) = 4.092
- space group = I4_1/amd, No. 141
- ΔE_f (kJ/mol of atoms) = -46.5

abc: 4.212 4.212 5.806
angles: 111.27 111.27 90.00
Sites, in units of the cell vectors:
Sc  0.750  0.250  0.500
Sc  0.500  0.500  0.000
In  0.250  0.750  0.500
In  0.000  0.000  0.000

***

(17)
DFT (SCAN) results for ScIn3 at its PBEsol-relaxed geometry.

Output
- electronic total energy (eV per cell) = -115.6
- DOS at the Fermi energy (states/eV per cell) = 2.275
- space group = Imm2, No. 44
- ΔE_f (kJ/mol of atoms) = -28.4

abc: 3.393 5.197 6.048
angles: 115.45 106.29 90.00
Sites, in units of the cell vectors:
Sc  0.000  0.333  0.000
In  0.744  0.736  0.487
In  0.256  0.249  0.513
In  0.500  0.848  0.000

***

(18)
DFT (SCAN) results for ScIn2 at its PBEsol-relaxed geometry.

Output
- electronic total energy (eV per cell) = -165.0
- DOS at the Fermi energy (states/eV per cell) = 2.859
- space group = Cmmm, No. 65
- ΔE_f (kJ/mol of atoms) = -48.2

abc: 4.415 4.398 7.073
angles: 71.89 90.00 90.00
Sites, in units of the cell vectors:
Sc  0.500  0.843  0.314
Sc  0.500  0.157  0.686
In  0.000  0.676  0.648
In  0.000  0.324  0.352
In  0.500  0.500  0.000
In  0.000  0.000  0.000

***

(19)
DFT (SCAN) results for ScIn2 at its PBEsol-relaxed geometry.

Output
- electronic total energy (eV per cell) = -329.4
- DOS at the Fermi energy (states/eV per cell) = 8.297
- space group = Pnma, No. 62
- ΔE_f (kJ/mol of atoms) = -43.0

abc: 4.328 6.175 9.910
angles: 90.00 90.00 90.00
Sites, in units of the cell vectors:
In  0.750  0.370  0.230
In  0.250  0.130  0.730
In  0.750  0.870  0.270
In  0.250  0.630  0.770
In  0.750  0.370  0.573
In  0.250  0.130  0.073
In  0.750  0.870  0.927
In  0.250  0.630  0.427
Sc  0.750  0.869  0.600
Sc  0.250  0.631  0.100
Sc  0.750  0.369  0.900
Sc  0.250  0.131  0.400

***

(20)
DFT (SCAN) results for ScIn at its PBEsol-relaxed geometry.

Output
- electronic total energy (eV per cell) = -97.2
- DOS at the Fermi energy (states/eV per cell) = 2.771
- space group = Imma, No. 74
- ΔE_f (kJ/mol of atoms) = -48.2

abc: 3.624 4.742 5.947
angles: 113.49 107.74 90.00
Sites, in units of the cell vectors:
Sc  0.877  0.127  0.754
Sc  0.123  0.873  0.246
In  0.366  0.616  0.733
In  0.634  0.384  0.267

***

| no. | spin magnetization (μB per formula unit) |
| --- | --- |
| 1 | 0.0 |
| 2 | 0.0 |
| 3 | 0.0 |
| 4 | 0.0 |
| 5 | 0.5 |
| 6 | 0.0 |
| 7 | 0.0 |
| 8 | 0.0 |
| 9 | 0.0 |
| 10 | 0.0 |
| 11 | 0.0 |
| 12 | 0.2 |
| 13 | 0.0 |
| 14 | 0.0 |
| 15 | 0.0 |
| 16 | 0.0 |
| 17 | 0.0 |
| 18 | 0.0 |
| 19 | 0.0 |
| 20 | 0.0 |